*w*
First-principles (PBE) data for a relaxed TaCdH2 crystal, as listed in Alexandria via LeMat-Bulk.

abc: 5.5264 5.5264 4.9817
angles: 56.31 56.31 90.00
Positions (direct):
Cd 0.2500 0.7500 0.5000
Ta 0.0000 0.0000 0.0000
Ta 0.7500 0.2500 0.5000
H 0.0455 0.6250 0.2500
H 0.3750 0.2955 0.7500
H 0.8750 0.9545 0.7500
Cd 0.5000 0.5000 0.0000
H 0.7045 0.1250 0.2500

Computed properties:
- total moment (Bohr magnetons per cell) = 0.000

---

*x*
First-principles (PBE) data for a relaxed TaCdH2 crystal, as listed in Alexandria via LeMat-Bulk.

abc: 3.9841 3.9841 3.9841
angles: 60.00 60.00 60.00
Positions (direct):
H 0.7500 0.7500 0.7500
Cd 0.0000 0.0000 0.0000
H 0.2500 0.2500 0.2500
Ta 0.5000 0.5000 0.5000

Computed properties:
- total moment (Bohr magnetons per cell) = 0.000

---

In terms of stability, *w* leads; the second structure lies 644 meV/atom higher.

---

*w*
First-principles (PBE) data for a relaxed TaCd3H crystal, as listed in Alexandria via LeMat-Bulk.

abc: 5.6072 5.6072 5.6072
angles: 90.00 90.00 90.00
Positions (direct):
Cd 0.0000 0.5000 0.0000
Cd 0.0000 0.0000 0.5000
Cd 0.5000 0.0000 0.0000
Ta 0.0000 0.0000 0.0000
H 0.5000 0.5000 0.5000

Computed properties:
- total moment (Bohr magnetons per cell) = 3.614

---

*x*
First-principles (PBE) data for a relaxed TaCd3H crystal, as listed in Alexandria via LeMat-Bulk.

abc: 4.3749 4.3749 4.3749
angles: 90.00 90.00 90.00
Positions (direct):
H 0.0000 0.0000 0.0000
Cd 0.0000 0.5000 0.0000
Ta 0.5000 0.5000 0.5000
Cd 0.0000 0.0000 0.5000
Cd 0.5000 0.0000 0.0000

Computed properties:
- total moment (Bohr magnetons per cell) = 0.000

---

In terms of stability, *x* leads; the second structure lies 863 meV/atom higher.